A plane-wave DFT calculation with PBE-GGA was carried out for an optimized crystal structure of NiGeMo2Br.

a b c (Å): 4.589 4.589 5.063
angles (deg): 90.00 90.00 90.00
Sites, in units of the cell vectors:
Ni 0.000 0.000 0.000
Ge 0.500 0.500 0.000
Mo 0.000 0.500 0.500
Mo 0.500 0.000 0.500
Br 0.500 0.500 0.500

Values from the calculation:
Total magnetic moment = 0.6 μB/f.u.
Raw formation energy = 9.69 eV per formula unit

=====

A plane-wave DFT calculation with PBE-GGA was carried out for an optimized crystal structure of Cs3Rb3MnCl8.

a b c (Å): 9.602 9.602 9.602
angles (deg): 58.48 58.48 58.48
Sites, in units of the cell vectors:
Cs 0.000 0.500 0.500
Cs 0.500 0.000 0.500
Cs 0.500 0.500 0.000
Rb 0.000 0.000 0.500
Rb 0.000 0.500 0.000
Rb 0.500 0.000 0.000
Mn 0.500 0.500 0.500
Cl 0.245 0.245 0.245
Cl 0.297 0.696 0.696
Cl 0.304 0.304 0.703
Cl 0.304 0.703 0.304
Cl 0.696 0.297 0.696
Cl 0.696 0.696 0.297
Cl 0.703 0.304 0.304
Cl 0.755 0.755 0.755

Values from the calculation:
Total magnetic moment = 5.0 μB/f.u.
Raw formation energy = -26.66 eV per formula unit

=====

A plane-wave DFT calculation with PBE-GGA was carried out for an optimized crystal structure of CeSm4Er5.

a b c (Å): 8.012 8.012 8.012
angles (deg): 97.79 97.79 136.79
Sites, in units of the cell vectors:
Ce 0.000 0.000 0.000
Sm 0.082 0.758 0.324
Sm 0.434 0.758 0.676
Sm 0.758 0.082 0.324
Sm 0.758 0.434 0.676
Er 0.070 0.070 0.627
Er 0.070 0.443 0.000
Er 0.443 0.070 0.000
Er 0.443 0.443 0.373
Er 0.533 0.533 0.000

Values from the calculation:
Energy of formation = 0.26 eV per atom
Total magnetic moment = 0.3 μB/f.u.

=====

A plane-wave DFT calculation with PBE-GGA was carried out for an optimized crystal structure of La5Np2O12.

a b c (Å): 7.357 7.357 7.903
angles (deg): 105.60 105.60 52.22
Sites, in units of the cell vectors:
La 0.000 0.000 0.000
La 0.300 0.300 0.134
La 0.305 0.305 0.675
La 0.695 0.695 0.325
La 0.700 0.700 0.866
Np 0.243 0.757 0.500
Np 0.757 0.243 0.500
O 0.001 0.001 0.697
O 0.093 0.592 0.923
O 0.100 0.568 0.416
O 0.408 0.907 0.077
O 0.432 0.900 0.584
O 0.498 0.498 0.685
O 0.502 0.502 0.315
O 0.568 0.100 0.416
O 0.592 0.093 0.923
O 0.900 0.432 0.584
O 0.907 0.408 0.077
O 0.999 0.999 0.303

Values from the calculation:
Total magnetic moment = 5.0 μB/f.u.
Raw formation energy = -62.82 eV per formula unit

=====

A plane-wave DFT calculation with PBE-GGA was carried out for an optimized crystal structure of Mg2ZnCo5B2.

a b c (Å): 8.846 8.846 2.783
angles (deg): 90.00 90.00 90.00
Sites, in units of the cell vectors:
Mg 0.178 0.322 0.000
Mg 0.322 0.822 0.000
Mg 0.678 0.178 0.000
Mg 0.822 0.678 0.000
Zn 0.000 0.000 0.000
Zn 0.500 0.500 0.000
Co 0.000 0.500 0.500
Co 0.068 0.777 0.500
Co 0.223 0.068 0.500
Co 0.277 0.568 0.500
Co 0.432 0.277 0.500
Co 0.500 0.000 0.500
Co 0.568 0.723 0.500
Co 0.723 0.432 0.500
Co 0.777 0.932 0.500
Co 0.932 0.223 0.500
B 0.124 0.624 0.000
B 0.376 0.124 0.000
B 0.624 0.876 0.000
B 0.876 0.376 0.000

Values from the calculation:
Energy of formation = -0.22 eV per atom
Total magnetic moment = 0.0 μB/f.u.

=====

A plane-wave DFT calculation with PBE-GGA was carried out for an optimized crystal structure of Ti2Mn2V5Ga.

a b c (Å): 9.913 9.913 2.937
angles (deg): 90.00 90.00 90.00
Sites, in units of the cell vectors:
Ti 0.171 0.329 0.000
Ti 0.329 0.829 0.000
Ti 0.671 0.171 0.000
Ti 0.829 0.671 0.000
Mn 0.130 0.630 0.000
Mn 0.370 0.130 0.000
Mn 0.630 0.870 0.000
Mn 0.870 0.370 0.000
V 0.000 0.500 0.500
V 0.062 0.793 0.500
V 0.207 0.062 0.500
V 0.293 0.562 0.500
V 0.438 0.293 0.500
V 0.500 0.000 0.500
V 0.562 0.707 0.500
V 0.707 0.438 0.500
V 0.793 0.938 0.500
V 0.938 0.207 0.500
Ga 0.000 0.000 0.000
Ga 0.500 0.500 0.000

Values from the calculation:
Energy of formation = 0.02 eV per atom
Total magnetic moment = 0.0 μB/f.u.

=====

A plane-wave DFT calculation with PBE-GGA was carried out for an optimized crystal structure of Rb2PrAgI6.

a b c (Å): 8.463 8.845 14.560
angles (deg): 90.00 125.46 90.00
Sites, in units of the cell vectors:
Rb 0.224 0.077 0.248
Rb 0.224 0.423 0.748
Rb 0.776 0.577 0.252
Rb 0.776 0.923 0.752
Pr 0.500 0.000 0.000
Pr 0.500 0.500 0.500
Ag 0.000 0.000 0.500
Ag 0.000 0.500 0.000
I 0.152 0.200 0.953
I 0.152 0.300 0.453
I 0.259 0.702 0.956
I 0.259 0.798 0.456
I 0.334 0.015 0.742
I 0.334 0.485 0.242
I 0.666 0.515 0.758
I 0.666 0.985 0.258
I 0.741 0.202 0.544
I 0.741 0.298 0.044
I 0.848 0.700 0.547
I 0.848 0.800 0.047

Values from the calculation:
Total magnetic moment = 0.0 μB/f.u.
Raw formation energy = -12.06 eV per formula unit

=====

A plane-wave DFT calculation with PBE-GGA was carried out for an optimized crystal structure of Y2TeBr.

a b c (Å): 11.512 3.761 5.062
angles (deg): 90.00 99.47 90.00
Sites, in units of the cell vectors:
Y 0.000 0.000 0.000
Y 0.228 0.500 0.423
Y 0.500 0.500 0.000
Y 0.728 0.000 0.423
Te 0.270 0.000 0.944
Te 0.770 0.500 0.944
Br 0.490 0.000 0.519
Br 0.990 0.500 0.519

Values from the calculation:
Total magnetic moment = 0.0 μB/f.u.
Raw formation energy = -4.15 eV per formula unit